[1]
Entry from the Alexandria database: a relaxed structure of Na6Al4FeSi8O26 (PBE+U).

Structure (extended XYZ):
```
45
Lattice="7.5873 -4.0504 0.0000 7.5873 4.0504 0.0000 -4.3267 0.0000 9.6924" Properties=species:S:1:pos:R:3 pbc="T T T"
Na -0.9387 0.0000 3.2691
Na -0.5597 0.0000 9.0852
Na 2.6373 0.0000 5.9754
Na 8.2105 0.0000 3.7169
Na 11.4075 0.0000 0.6072
Na 11.7865 0.0000 6.4232
Al 6.0353 1.6006 1.5309
Al 4.8125 1.6006 8.1614
Al 6.0353 -1.6006 1.5309
Al 4.8125 -1.6006 8.1614
Fe 5.4239 0.0000 4.8462
Si 3.6940 2.4956 3.5575
Si 1.7045 2.4874 8.2097
Si 9.1433 2.4874 1.4827
Si 7.1538 2.4956 6.1349
Si 3.6940 -2.4956 3.5575
Si 1.7045 -2.4874 8.2097
Si 9.1433 -2.4874 1.4827
Si 7.1538 -2.4956 6.1349
O 1.0451 1.7680 6.8788
O 4.8308 2.5729 2.3841
O -0.3108 0.0000 5.5039
O 3.3022 2.4952 7.9848
O 1.1877 1.6743 9.5225
O 2.1203 0.0000 1.3553
O 3.9506 1.4744 4.7510
O 7.5456 2.4952 1.7076
O 6.0170 2.5729 7.3083
O 6.8972 1.4744 4.9414
O 9.6601 1.6743 0.1699
O 6.1653 0.0000 2.1758
O 1.0451 -1.7680 6.8788
O 9.8027 1.7680 2.8136
O 4.6825 0.0000 7.5166
O 1.1877 -1.6743 9.5225
O 3.9506 -1.4744 4.7510
O 4.8308 -2.5729 2.3841
O 3.3022 -2.4952 7.9848
O 6.8972 -1.4744 4.9414
O 8.7275 0.0000 8.3371
O 9.6601 -1.6743 0.1699
O 7.5456 -2.4952 1.7076
O 11.1586 0.0000 4.1884
O 6.0170 -2.5729 7.3083
O 9.8027 -1.7680 2.8136
```

Calculated values
Theoretical density: 2.627 g/cm³
Polymorph energy (0 for the lowest one): 0.010 eV per atom
D(E_F): 0.0 states/eV/cell

---

[2]
Entry from the Alexandria database: a relaxed structure of Na6Al4FeSi8O26 (PBE+U).

Structure (extended XYZ):
```
45
Lattice="7.5800 -4.0351 0.0000 7.5800 4.0351 0.0000 -4.3065 0.0000 9.8107" Properties=species:S:1:pos:R:3 pbc="T T T"
Na -0.9104 0.0000 3.3022
Na -0.5587 -0.0281 9.2506
Na 2.5936 -0.1216 6.0362
Na 8.2601 -0.1216 3.7745
Na 11.4124 -0.0281 0.5601
Na 11.7641 0.0000 6.5085
Al 1.7166 2.3628 8.3166
Al 9.1370 2.3628 1.4942
Al 6.0411 -1.6479 1.5093
Al 4.8125 -1.6479 8.3015
Fe 5.4268 -0.2115 4.9054
Si 3.7397 2.3232 3.5844
Si 6.0321 1.5153 1.5292
Si 7.1140 2.3232 6.2264
Si 4.8216 1.5153 8.2816
Si 1.6737 -2.5255 8.3275
Si 3.7173 -2.6386 3.5912
Si 9.1800 -2.5255 1.4832
Si 7.1363 -2.6386 6.2195
O 1.0186 1.5044 6.9494
O 4.8900 2.3622 2.3915
O -0.4939 -0.1749 5.5782
O 3.4510 2.3587 8.0624
O 1.2083 1.5316 9.7919
O 2.1490 -0.0192 1.3444
O 3.9625 1.2268 4.7112
O 7.4026 2.3587 1.7483
O 5.9637 2.3622 7.4192
O 9.6453 1.5316 0.0188
O 6.8911 1.2268 5.0995
O 6.1765 -0.0017 2.0974
O 1.0005 -1.7952 6.9933
O 4.6771 -0.0017 7.7134
O 9.8350 1.5044 2.8614
O 1.1864 -1.6821 9.6420
O 3.9518 -1.6381 4.8233
O 4.8807 -2.6135 2.4228
O 3.2768 -2.4688 8.0761
O 6.9019 -1.6381 4.9874
O 8.7046 -0.0192 8.4663
O 9.6673 -1.6821 0.1687
O 7.5769 -2.4688 1.7347
O 11.3476 -0.1749 4.2326
O 5.9729 -2.6135 7.3879
O 9.8531 -1.7952 2.8174
```

Calculated values
Theoretical density: 2.607 g/cm³
Polymorph energy (0 for the lowest one): 0.000 eV per atom
D(E_F): 0.0 states/eV/cell

---

[3]
Entry from the Alexandria database: a relaxed structure of Na6Al3Fe3Te4O24 (PBE+U).

Structure (extended XYZ):
```
80
Lattice="-6.2651 6.2651 6.2651 6.2651 -6.2651 6.2651 6.2651 6.2651 -6.2651" Properties=species:S:1:pos:R:3 pbc="T T T"
Na 6.2651 3.1326 -1.5852
Na 3.1326 1.5852 0.0000
Na 1.5852 0.0000 3.1326
Na 7.8125 0.0000 3.1326
Na 3.1326 -1.5852 6.2651
Na 0.0000 3.1326 1.5852
Na 3.1326 7.8125 0.0000
Na 6.2651 3.1326 4.7178
Na -1.5852 6.2651 3.1326
Na 4.7178 6.2651 3.1326
Na 0.0000 3.1326 7.8125
Na 3.1326 4.7178 6.2651
Al 9.3977 1.5663 0.0000
Al 4.6988 0.0000 3.1326
Al 3.1326 4.6988 0.0000
Al 0.0000 3.1326 4.6988
Al 1.5663 0.0000 9.3977
Al 0.0000 9.3977 1.5663
Fe 6.2651 -3.1326 4.6988
Fe 4.6988 6.2651 -3.1326
Fe 6.2651 3.1326 1.5663
Fe 3.1326 1.5663 6.2651
Fe 1.5663 6.2651 3.1326
Fe -3.1326 4.6988 6.2651
Te 6.2506 0.0145 -0.0145
Te 9.3832 -3.1181 3.1181
Te 0.0145 0.0145 0.0145
Te 0.0145 -0.0145 6.2506
Te -0.0145 6.2506 0.0145
Te 3.1181 9.3832 -3.1181
Te 3.1471 3.1471 3.1471
Te -3.1181 3.1181 9.3832
O 7.5694 3.6241 -3.5607
O 1.8278 -0.3494 0.6007
O 8.0934 0.4281 0.4916
O 7.5699 -2.5318 3.4820
O 9.7471 -1.3048 2.5318
O 5.8370 -0.4916 1.8283
O 8.9061 2.7044 -1.3043
O 0.6007 1.8278 -0.3494
O 5.6644 1.8278 0.3494
O 3.6241 3.5607 -1.3043
O 3.5607 -1.3043 3.6241
O -0.3494 0.6007 1.8278
O 5.9157 5.6644 -1.8278
O 3.5607 1.3043 2.6410
O 3.6241 -3.5607 7.5694
O 5.6644 -1.8278 5.9157
O 6.8659 4.4373 0.3494
O 2.6410 3.5607 1.3043
O 5.8370 0.4916 4.4368
O 3.4820 7.5699 -2.5318
O 7.5699 2.5318 2.7832
O 1.8283 5.8370 -0.4916
O 1.8278 0.3494 5.6644
O 1.3043 2.6410 3.5607
O 4.4368 5.8370 0.4916
O 4.9604 3.7333 2.7832
O -1.3043 3.6241 3.5607
O 4.4373 0.3494 6.8659
O 0.3494 5.6644 1.8278
O 2.7044 -1.3043 8.9061
O -0.4916 1.8283 5.8370
O 3.7333 2.7832 4.9604
O 2.5318 9.7471 -1.3048
O 0.4916 8.0934 0.4281
O 0.4281 0.4916 8.0934
O 2.7832 4.9604 3.7333
O 2.7832 7.5699 2.5318
O 6.6933 5.7736 4.4368
O 0.4916 4.4368 5.8370
O 2.5318 2.7832 7.5699
O -2.5318 3.4820 7.5699
O 5.7736 4.4368 6.6933
O -3.5607 7.5694 3.6241
O 0.3494 6.8659 4.4373
O -1.8278 5.9157 5.6644
O -1.3043 8.9061 2.7044
O -1.3048 2.5318 9.7471
O 4.4368 6.6933 5.7736
```

Calculated values
Theoretical density: 4.324 g/cm³
Total energy: -471.038 eV for the cell shown
D(E_F): 0.0 states/eV/cell